(1)
The following is a DFT calculation (PBE) of a relaxed structure of Mn2In2I.

Values from the calculation:
Its space group is I4/mmm, No. 139. The total moment is 7.29 μB/cell. The calculated density is 6.57 g cm⁻³. As for the electronic total energy: -4.633 eV per atom.

Unit cell a=7.483 b=7.483 c=7.483 alpha=147.92 beta=147.92 gamma=46.01
Sites, in units of the cell vectors:
Mn (0.099, 0.099, 0.000)
Mn (0.901, 0.901, 0.000)
In (0.250, 0.750, 0.500)
In (0.750, 0.250, 0.500)
I (0.500, 0.500, 0.000)


(2)
The following is a DFT calculation (PBE) of a relaxed structure of ScWSe.

Values from the calculation:
Its space group is Fmm2, No. 42. The total moment is 0.00 μB/cell. The calculated density is 9.38 g cm⁻³. As for the electronic total energy: -7.544 eV per atom.

Unit cell a=6.581 b=6.354 c=3.068 alpha=80.44 beta=72.19 gamma=27.37
Sites, in units of the cell vectors:
Sc (0.000, 0.000, 0.000)
W (0.319, 0.319, 0.681)
Se (0.663, 0.663, 0.337)


(3)
The following is a DFT calculation (PBE) of a relaxed structure of MgZnRu.

Values from the calculation:
Its space group is F-43m, No. 216. The calculation puts the energy of formation from the pure elements at 0.317 eV per atom. The total moment is 0.00 μB/cell. The calculated density is 6.09 g cm⁻³. As for the electronic total energy: -3.731 eV per atom.

Unit cell a=4.191 b=4.191 c=4.191 alpha=60.00 beta=60.00 gamma=60.00
Sites, in units of the cell vectors:
Mg (0.000, 0.000, 0.000)
Zn (0.750, 0.750, 0.750)
Ru (0.500, 0.500, 0.500)


(4)
The following is a DFT calculation (PBE) of a relaxed structure of CaCdGeO4.

Values from the calculation:
Its space group is Imma, No. 74. The total moment is 0.00 μB/cell. The calculated density is 5.20 g cm⁻³. As for the electronic total energy: -5.786 eV per atom.

Unit cell a=6.388 b=6.388 c=6.388 alpha=120.28 beta=119.37 gamma=90.31
Sites, in units of the cell vectors:
Ca (0.000, 0.000, 0.000)
Ca (0.500, 0.000, 0.500)
Cd (0.500, 0.000, 0.000)
Cd (0.500, 0.500, 0.500)
Ge (0.129, 0.379, 0.750)
Ge (0.871, 0.621, 0.250)
O (0.217, 0.740, 0.478)
O (0.238, 0.260, 0.978)
O (0.242, 0.257, 0.516)
O (0.242, 0.726, 0.984)
O (0.758, 0.274, 0.016)
O (0.758, 0.743, 0.484)
O (0.762, 0.740, 0.022)
O (0.783, 0.260, 0.522)